1.
The following is a PBE calculation of a geometry-optimized La2CrP structure, from the Alexandria database.

Calculated values
**Electronic total energy**: -6.570 eV/atom

a = 3.7752 Å, b = 3.7752 Å, c = 7.1213 Å
α = 90.00°, β = 90.00°, γ = 90.00°
With the nearest neighbours (Å) after each atom.
Positions (direct):
La 0.0000 0.0000 0.2286  4 P 3.13, 1 La 3.26, 4 Cr 3.30
La 0.0000 0.0000 0.7714  4 P 3.13, 1 La 3.26, 4 Cr 3.30
Cr 0.5000 0.5000 0.5000  8 La 3.30, 2 P 3.56
P 0.5000 0.5000 0.0000  8 La 3.13


2.
The following is a PBE calculation of a geometry-optimized Ta2NbBr structure, from the Alexandria database.

Calculated values
**Relative energy among the computed polymorphs**: 0.098 eV/atom
**Formation energy without anion corrections**: 0.92 eV per atom

a = 10.4138 Å, b = 10.4138 Å, c = 10.4138 Å
α = 158.03°, β = 158.03°, γ = 31.27°
With the nearest neighbours (Å) after each atom.
Positions (direct):
Ta 0.1206 0.6250 0.9956  4 Ta 2.78-2.83, 2 Nb 2.87, 2 Br 2.88
Ta 0.3750 0.3706 0.4956  4 Ta 2.78-2.83, 2 Nb 2.87, 2 Br 2.88
Ta 0.6294 0.1250 0.0044  4 Ta 2.78-2.83, 2 Nb 2.87, 2 Br 2.88
Ta 0.8750 0.8794 0.5044  4 Ta 2.78-2.83, 2 Nb 2.87, 2 Br 2.88
Nb 0.0000 0.0000 0.0000  4 Br 2.81, 4 Ta 2.87
Nb 0.7500 0.2500 0.5000  4 Br 2.81, 4 Ta 2.87
Br 0.2500 0.7500 0.5000  4 Nb 2.81, 4 Ta 2.88
Br 0.5000 0.5000 0.0000  4 Nb 2.81, 4 Ta 2.88